(1)
PmTiAlRh2 | PBE | optimized geometry

Computed properties:
Energy of formation from the pure elements in eV/atom: -0.7932
DOS at the Fermi energy in states/eV/atom: 0.746

a b c (Å): 4.063 4.063 11.485
angles (deg): 90.00 90.00 90.00
Space group I-4m2 (No. 119)
Unique sites:
Pm1 0.000 0.000 0.000 (multiplicity 2)
Ti1 0.000 0.500 0.750 (multiplicity 2)
Al1 0.000 0.500 0.250 (multiplicity 2)
Rh1 0.000 0.000 0.382 (multiplicity 4)

=====

(2)
Pm2Al2TlRh5 | PBE | optimized geometry

Computed properties:
Energy of formation from the pure elements in eV/atom: -0.7027
DOS at the Fermi energy in states/eV/atom: 0.534

a b c (Å): 10.048 10.048 3.590
angles (deg): 90.00 90.00 90.00
Space group P4/mbm (No. 127)
Unique sites:
Pm1 0.178 0.322 0.000 (multiplicity 4)
Al1 0.119 0.619 0.000 (multiplicity 4)
Tl1 0.000 0.000 0.000 (multiplicity 2)
Rh1 0.000 0.500 0.500 (multiplicity 2)
Rh2 0.068 0.785 0.500 (multiplicity 8)

=====

(3)
Pm2Al4ZnRh3 | PBE | optimized geometry

Computed properties:
Energy of formation from the pure elements in eV/atom: -0.7371
DOS at the Fermi energy in states/eV/atom: 0.820

a b c (Å): 4.160 4.160 10.793
angles (deg): 90.00 90.00 90.00
Space group P-4m2 (No. 115)
Unique sites:
Pm1 0.000 0.500 0.247 (multiplicity 2)
Al1 0.000 0.000 0.000 (multiplicity 1)
Al2 0.000 0.500 0.634 (multiplicity 2)
Al3 0.500 0.500 0.000 (multiplicity 1)
Zn1 0.000 0.000 0.500 (multiplicity 1)
Rh1 0.000 0.500 0.869 (multiplicity 2)
Rh2 0.500 0.500 0.500 (multiplicity 1)

=====

(4)
Pm2Al2ZnRh5 | PBE | optimized geometry

Computed properties:
Energy of formation from the pure elements in eV/atom: -0.7137
DOS at the Fermi energy in states/eV/atom: 0.450

a b c (Å): 9.997 9.997 3.452
angles (deg): 90.00 90.00 90.00
Space group P4/mbm (No. 127)
Unique sites:
Pm1 0.176 0.324 0.000 (multiplicity 4)
Al1 0.123 0.623 0.000 (multiplicity 4)
Zn1 0.000 0.000 0.000 (multiplicity 2)
Rh1 0.000 0.500 0.500 (multiplicity 2)
Rh2 0.065 0.796 0.500 (multiplicity 8)

=====

(5)
PmAlZnRh | PBE | optimized geometry

Computed properties:
Energy of formation from the pure elements in eV/atom: -0.4596
DOS at the Fermi energy in states/eV/atom: 0.752

a b c (Å): 6.683 6.683 6.683
angles (deg): 90.00 90.00 90.00
Space group F-43m (No. 216)
Unique sites:
Pm1 0.000 0.000 0.000 (multiplicity 4)
Al1 0.000 0.000 0.500 (multiplicity 4)
Zn1 0.250 0.250 0.250 (multiplicity 4)
Rh1 0.250 0.250 0.750 (multiplicity 4)

=====

(6)
Pm2Al4Zn3Rh | PBE | optimized geometry

Computed properties:
Energy of formation from the pure elements in eV/atom: -0.5020
DOS at the Fermi energy in states/eV/atom: 0.625

a b c (Å): 4.191 4.191 10.834
angles (deg): 90.00 90.00 90.00
Space group P-4m2 (No. 115)
Unique sites:
Pm1 0.000 0.500 0.248 (multiplicity 2)
Al1 0.000 0.000 0.500 (multiplicity 1)
Al2 0.000 0.500 0.873 (multiplicity 2)
Al3 0.500 0.500 0.500 (multiplicity 1)
Zn1 0.000 0.000 0.000 (multiplicity 1)
Zn2 0.000 0.500 0.641 (multiplicity 2)
Rh1 0.500 0.500 0.000 (multiplicity 1)

=====

Question: Look up the energy of formation from the pure elements of the second one.
Answer: -0.7027 eV/atom

=====

Question: Number 4 is which compound?
Answer: Pm2Al2ZnRh5

=====

Question: DOS at the Fermi energy of number 4 (Pm2Al2ZnRh5)?
Answer: 0.450 states/eV/atom

=====

Question: Among the records above, which one has the lowest energy of formation from the pure elements?
Answer: PmTiAlRh2